5
Lattice="-2.756 1.740 -3.243 -3.701 0.355 3.336 1.392 4.243 1.093" Properties=species:S:1:pos:R:3 comment="NaMnInPd2 | the Alexandria database | GGA-PBE | relaxed" sg="No. 123" formation_enthalpy_0k_ev_per_atom=0.793 pbc="T T T"
Na -1.850 0.178 1.668
Mn 0.000 0.000 0.000
Pd -1.378 0.870 -1.621
Pd 0.696 2.121 0.546
In -2.532 3.169 0.593



4
Lattice="4.655 0.000 0.000 2.327 4.031 0.000 2.327 1.344 3.801" Properties=species:S:1:pos:R:3 comment="NaMnInPt | the Alexandria database | GGA-PBE | relaxed" sg="No. 216" formation_enthalpy_0k_ev_per_atom=-0.116 pbc="T T T"
In 6.982 4.031 2.851
Pt 4.655 2.688 1.900
Na 0.000 0.000 0.000
Mn 2.327 1.344 0.950



16
Lattice="-7.335 -0.183 -1.974 -1.811 -3.307 7.039 3.780 6.591 -0.036" Properties=species:S:1:pos:R:3 comment="Na4MnIn3S8 | the Alexandria database | GGA-PBE | relaxed" sg="No. 166" e_form_raw_ev_per_atom=-0.836 pbc="T T T"
Mn -0.906 -1.653 3.520
S -1.239 0.640 4.547
S -2.273 -0.880 1.531
S 0.732 4.077 4.528
S -3.093 3.982 3.498
S -4.919 0.650 3.597
S -6.098 -0.976 0.502
S -0.447 2.451 1.432
S -4.127 2.461 0.483
In -2.683 1.551 2.515
In 0.984 1.642 3.502
In -4.573 -1.745 2.533
Na 1.890 3.296 -0.018
Na -3.667 -0.092 -0.987
Na 0.000 0.000 0.000
Na -1.777 3.204 -1.005



12
Lattice="6.411 -0.010 -0.002 -3.212 5.548 -0.002 -1.068 -1.850 6.628" Properties=species:S:1:pos:R:3 comment="Na3Mn2InS6 | the Alexandria database | GGA-PBE | relaxed" sg="No. 12" e_form_raw_ev_per_atom=-0.801 pbc="T T T"
Na 4.306 -0.028 3.312
Na -2.176 3.716 3.312
Na 1.065 1.844 3.312
S 3.251 1.733 5.253
S -0.123 3.682 5.253
S 0.053 0.091 5.247
S -1.121 1.955 1.371
S 2.077 3.597 1.377
S 2.253 0.006 1.371
Mn 3.203 1.842 -0.002
Mn -0.005 3.695 -0.002
In 0.000 0.000 0.000



8
Lattice="-2.572 -1.566 2.554 4.570 -4.668 1.739 0.886 5.787 4.442" Properties=species:S:1:pos:R:3 comment="Na2MnInSe4 | the Alexandria database | GGA-PBE | relaxed" sg="No. 10" e_form_raw_ev_per_atom=-0.740 pbc="T T T"
Na 2.728 0.560 3.090
Na -0.843 2.110 3.498
Mn 0.999 -3.117 2.146
Se 0.081 -0.752 2.672
Se 1.951 3.289 3.983
Se 2.803 0.305 6.062
Se 3.504 -2.170 2.198
In 0.000 0.000 0.000



5
Lattice="-3.435 -3.652 0.891 3.496 -3.687 -1.637 1.736 -0.469 4.764" Properties=species:S:1:pos:R:3 comment="NaMn2InSn | the Alexandria database | GGA-PBE | relaxed" sg="No. 123" formation_enthalpy_0k_ev_per_atom=0.806 pbc="T T T"
In 0.000 0.000 0.000
Mn 0.868 -0.235 2.382
Mn -1.717 -1.826 0.446
Na 1.748 -1.844 -0.818
Sn 0.899 -3.904 2.009



5
Lattice="-1.064 3.400 3.636 -4.033 -2.768 1.408 2.835 -2.513 3.179" Properties=species:S:1:pos:R:3 comment="NaMnIn2Sn | the Alexandria database | GGA-PBE | relaxed" sg="No. 123" formation_enthalpy_0k_ev_per_atom=0.067 pbc="T T T"
Sn 1.418 -1.256 1.590
In -0.532 1.700 1.818
In -2.016 -1.384 0.704
Na -1.131 -0.940 4.112
Mn 0.000 0.000 0.000



5
Lattice="5.235 0.000 0.000 0.000 5.565 0.000 0.000 0.000 5.235" Properties=species:S:1:pos:R:3 comment="NaSrMn2In | the Alexandria database | GGA-PBE | relaxed" sg="No. 123" formation_enthalpy_0k_ev_per_atom=0.613 pbc="T T T"
In 0.000 0.000 0.000
Na 0.000 2.782 0.000
Mn 0.000 0.000 2.618
Mn 2.618 0.000 0.000
Sr 2.618 2.782 2.618



8
Lattice="-0.176 -0.801 4.145 1.809 -6.911 -1.258 6.744 4.133 1.085" Properties=species:S:1:pos:R:3 comment="Na2MnInTe4 | the Alexandria database | GGA-PBE | relaxed" sg="No. 10" e_form_raw_ev_per_atom=-0.479 pbc="T T T"
In 0.000 0.000 0.000
Na 4.276 -1.389 -0.087
Na 3.284 1.666 2.615
Te 1.825 -1.315 1.977
Te 5.828 1.353 0.509
Te 6.552 -2.264 1.994
Te 2.725 -4.131 -0.683
Mn 0.816 -3.856 1.443



12
Lattice="4.254 0.000 0.000 0.000 8.624 -0.567 0.000 -2.678 11.662" Properties=species:S:1:pos:R:3 comment="NaMnInTe3 | the Alexandria database | GGA-PBE | relaxed" sg="No. 11" e_form_raw_ev_per_atom=-0.359 pbc="T T T"
Te 3.191 3.600 1.490
Te 1.064 5.348 4.998
Te 1.064 -1.492 9.983
Te 1.064 2.346 9.605
Te 3.191 0.598 6.097
Te 3.191 7.438 1.112
Mn 1.064 5.354 0.685
Mn 3.191 0.592 10.410
Na 3.191 4.655 9.375
Na 1.064 1.291 1.721
In 3.191 6.838 3.812
In 1.064 -0.892 7.284



5
Lattice="-1.334 -4.880 -2.665 5.142 -1.956 1.009 -1.812 -2.210 4.953" Properties=species:S:1:pos:R:3 comment="NaMnTlIn2 | the Alexandria database | GGA-PBE | relaxed" sg="No. 123" formation_enthalpy_0k_ev_per_atom=0.804 pbc="T T T"
In -0.667 -2.440 -1.333
In -0.906 -1.105 2.477
Na 2.571 -0.978 0.504
Tl 0.000 0.000 0.000
Mn 0.998 -4.523 1.648



5
Lattice="5.214 0.000 0.000 0.000 5.214 0.000 0.000 0.000 4.565" Properties=species:S:1:pos:R:3 comment="NaMnIn2W | the Alexandria database | GGA-PBE | relaxed" sg="No. 123" formation_enthalpy_0k_ev_per_atom=0.748 pbc="T T T"
W 0.000 0.000 2.282
Mn 0.000 0.000 0.000
Na 2.607 2.607 2.282
In 0.000 2.607 0.000
In 2.607 0.000 0.000



5
Lattice="5.787 0.000 0.000 0.000 4.887 0.000 0.000 0.000 5.787" Properties=species:S:1:pos:R:3 comment="NaY2MnIn | the Alexandria database | GGA-PBE | relaxed" sg="No. 123" formation_enthalpy_0k_ev_per_atom=0.894 pbc="T T T"
Y 0.000 0.000 2.894
Y 2.894 0.000 0.000
Na 2.894 2.443 2.894
In 0.000 0.000 0.000
Mn 0.000 2.443 0.000



4
Lattice="3.239 0.000 0.000 0.000 3.239 0.000 0.000 0.000 6.267" Properties=species:S:1:pos:R:3 comment="Mn2NbIn | the Alexandria database | GGA-PBE | relaxed" sg="No. 123" formation_enthalpy_0k_ev_per_atom=0.056 pbc="T T T"
Mn 0.000 0.000 4.887
Mn 0.000 0.000 1.380
Nb 1.620 1.620 0.000
In 1.620 1.620 3.133



5
Lattice="4.638 0.000 0.000 0.000 4.638 0.000 0.000 0.000 4.638" Properties=species:S:1:pos:R:3 comment="MnNb3In | the Alexandria database | GGA-PBE | relaxed" sg="No. 221" formation_enthalpy_0k_ev_per_atom=0.526 pbc="T T T"
Nb 2.319 0.000 0.000
Nb 0.000 2.319 0.000
Nb 0.000 0.000 2.319
In 2.319 2.319 2.319
Mn 0.000 0.000 0.000



8
Lattice="7.366 0.000 0.000 0.000 7.366 0.000 3.683 3.683 2.720" Properties=species:S:1:pos:R:3 comment="MnNb2In | the Alexandria database | GGA-PBE | relaxed" sg="No. 122" formation_enthalpy_0k_ev_per_atom=0.434 pbc="T T T"
In 7.366 3.683 1.360
In 0.000 0.000 0.000
Mn 3.683 3.683 0.000
Mn 3.683 7.366 1.360
Nb 5.082 1.842 0.680
Nb 5.525 5.968 2.040
Nb 9.208 8.765 2.040
Nb 2.285 5.525 0.680



4
Lattice="1.963 -4.199 -0.413 -2.176 -3.760 1.669 -1.806 -3.135 -2.927" Properties=species:S:1:pos:R:3 comment="MnNbIn2 | the Alexandria database | GGA-PBE | relaxed" sg="No. 225" formation_enthalpy_0k_ev_per_atom=0.516 pbc="T T T"
Nb -1.009 -5.547 -0.836
Mn 0.000 0.000 0.000
In -0.505 -2.774 -0.418
In -1.514 -8.321 -1.254



5
Lattice="3.121 0.000 0.000 0.000 3.121 0.000 1.560 1.560 8.625" Properties=species:S:1:pos:R:3 comment="Mn2Nb2In | the Alexandria database | GGA-PBE | relaxed" sg="No. 139" formation_enthalpy_0k_ev_per_atom=0.295 pbc="T T T"
Nb 3.121 3.121 6.525
Nb 1.560 1.560 2.100
Mn 1.560 3.121 4.313
Mn 3.121 1.560 4.313
In 0.000 0.000 0.000



8
Lattice="-0.593 -7.082 -0.694 7.115 -0.576 -0.205 3.319 -4.107 2.342" Properties=species:S:1:pos:R:3 comment="Mn2NbIn | the Alexandria database | GGA-PBE | relaxed" sg="No. 122" formation_enthalpy_0k_ev_per_atom=0.638 pbc="T T T"
Mn 5.189 -2.435 0.355
Mn 1.362 -5.362 0.142
Mn 5.098 -5.966 1.415
Mn 8.032 -9.768 0.975
Nb 6.847 -4.256 0.844
Nb 3.261 -3.829 -0.449
In 0.000 0.000 0.000
In 2.993 -7.509 0.600



4
Lattice="-1.895 -2.193 0.680 1.786 -0.853 2.223 -3.793 4.794 4.887" Properties=species:S:1:pos:R:3 comment="MnNb2In | the Alexandria database | GGA-PBE | relaxed" sg="No. 123" formation_enthalpy_0k_ev_per_atom=0.015 pbc="T T T"
In -1.951 0.874 3.895
Mn -0.054 -1.523 1.452
Nb -0.763 0.965 0.983
Nb -3.030 3.829 3.904